[1]
DFT (PBE) results for crystalline Y4HoEr3 at its relaxed geometry.

```
Y4HoEr3
1.0
5.475 0.000 -1.091
-0.064 3.542 -0.320
-0.194 1.204 13.308
Y Ho Er
4 1 3
direct
0.603 0.500 0.206
0.397 0.500 0.794
0.277 0.499 0.555
0.723 0.501 0.445
0.500 0.000 0.000
0.000 0.500 0.000
0.844 0.000 0.689
0.156 0.000 0.311
```

Output
* DFT formation energy: 20.6 kJ per mole of atoms
* symmetry: Cmmm
* E above lowest polymorph: 0.213 eV/atom


[2]
DFT (PBE) results for crystalline Y2Ho5Er2 at its relaxed geometry.

```
Y2Ho5Er2
1.0
-3.511 -10.948 -1.778
6.341 -1.872 -0.994
-0.696 5.004 8.622
Y Ho Er
4 10 4
direct
0.121 0.685 0.254
0.879 0.431 0.746
0.633 0.185 0.254
0.367 0.931 0.746
0.205 0.658 0.896
0.795 0.763 0.104
0.190 0.158 0.896
0.810 0.263 0.104
0.381 0.032 0.286
0.619 0.746 0.714
0.405 0.532 0.286
0.595 0.246 0.714
0.992 0.651 0.500
0.008 0.151 0.500
0.000 0.007 0.000
0.500 0.507 0.000
0.265 0.362 0.500
0.735 0.862 0.500
```

Output
* DFT formation energy: 21.7 kJ per mole of atoms
* symmetry: Ima2
* E above lowest polymorph: 0.105 eV/atom


[3]
DFT (PBE) results for crystalline YHo8Er5 at its relaxed geometry.

```
YHo8Er5
1.0
7.980 0.000 -2.533
-4.081 6.702 -2.919
0.183 0.000 8.370
Y Ho Er
1 8 5
direct
0.250 0.500 0.750
0.163 0.739 0.081
0.919 0.081 0.658
0.727 0.253 0.333
0.667 0.394 0.920
0.526 0.606 0.273
0.576 0.919 0.837
0.342 0.261 0.424
0.080 0.747 0.474
0.037 0.321 0.135
0.865 0.902 0.187
0.813 0.679 0.716
0.500 0.000 0.500
0.284 0.098 0.963
```

Output
* DFT formation energy: 24.6 kJ per mole of atoms
* symmetry: I-4


Total magnetization in μB/f.u., matching the order above: 0.00; 0.00; 0.00